(1)
# Zn2HIr2, PBEsol geometry, DFT meta-GGA SCAN
data_Zn2HIr2
_cell_length_a 3.5182
_cell_length_b 3.5182
_cell_length_c 12.7300
_cell_angle_alpha 90.00
_cell_angle_beta 90.00
_cell_angle_gamma 90.00
_space_group_name_H-M_alt 'I 4/m m m'
_space_group_IT_number 139
_space_group_name_Hall '-I 4 2'
loop_
_atom_site_label
_atom_site_type_symbol
_atom_site_fract_x
_atom_site_fract_y
_atom_site_fract_z
Zn1 Zn 0.0000 0.0000 0.0930
H1 H 0.0000 0.0000 0.5000
Ir1 Ir 0.0000 0.5000 0.2500
# - magnetic moment (Bohr magnetons per cell) = 0.00
# - relative energy among the computed polymorphs (meV per atom) = 816

(2)
# LiNi2Rh, PBEsol geometry, DFT meta-GGA SCAN
data_LiNi2Rh
_cell_length_a 2.5541
_cell_length_b 2.5541
_cell_length_c 25.1781
_cell_angle_alpha 90.00
_cell_angle_beta 90.00
_cell_angle_gamma 120.00
_space_group_name_H-M_alt 'R -3 m'
_space_group_IT_number 166
_space_group_name_Hall '-R 3 2"'
loop_
_atom_site_label
_atom_site_type_symbol
_atom_site_fract_x
_atom_site_fract_y
_atom_site_fract_z
Li1 Li 0.0000 0.0000 0.0000
Ni1 Ni 0.0000 0.0000 0.2496
Rh1 Rh 0.0000 0.0000 0.5000
# - magnetic moment (Bohr magnetons per cell) = 5.86
# - ΔE_f (eV per formula unit) = 0.3

(3)
# HfTc2AgRh, PBEsol geometry, DFT meta-GGA SCAN
data_HfTc2AgRh
_cell_length_a 4.5666
_cell_length_b 4.5666
_cell_length_c 4.8445
_cell_angle_alpha 90.00
_cell_angle_beta 90.00
_cell_angle_gamma 90.00
_space_group_name_H-M_alt 'P 4/m m m'
_space_group_IT_number 123
_space_group_name_Hall '-P 4 2'
loop_
_atom_site_label
_atom_site_type_symbol
_atom_site_fract_x
_atom_site_fract_y
_atom_site_fract_z
Hf1 Hf 0.0000 0.0000 0.0000
Tc1 Tc 0.0000 0.5000 0.0000
Ag1 Ag 0.0000 0.0000 0.5000
Rh1 Rh 0.5000 0.5000 0.5000
# - magnetic moment (Bohr magnetons per cell) = 2.25
# - ΔE_f (eV per formula unit) = 9.7

(4)
# Li2ZrAl, PBEsol geometry, DFT meta-GGA SCAN
data_Li2ZrAl
_cell_length_a 2.9628
_cell_length_b 2.9628
_cell_length_c 8.4342
_cell_angle_alpha 90.00
_cell_angle_beta 90.00
_cell_angle_gamma 90.00
_space_group_name_H-M_alt 'P 4 m m'
_space_group_IT_number 99
_space_group_name_Hall 'P 4 -2'
loop_
_atom_site_label
_atom_site_type_symbol
_atom_site_fract_x
_atom_site_fract_y
_atom_site_fract_z
Li1 Li 0.0000 0.0000 0.0000
Li2 Li 0.5000 0.5000 0.2513
Zr1 Zr 0.0000 0.0000 0.5519
Al1 Al 0.5000 0.5000 0.7888
# - magnetic moment (Bohr magnetons per cell) = 0.21
# - ΔE_f (eV per formula unit) = -0.4

Q: What is the magnetic moment in the first record?
A: 0.00 Bohr magnetons per cell